{"formula": "BaYW2", "functional": "PBE", "state": "relaxed", "lattice": [[10.9289, 0.0490, 0.0288], [10.4119, 3.3222, 0.0288], [10.4119, 1.6448, 2.8866]], "species": ["Ba", "W", "Y", "W"], "frac_coords": [[0.7399, 0.7399, 0.7399], [0.2611, 0.2611, 0.2611], [0.5177, 0.5177, 0.5177], [0.9813, 0.9813, 0.9813]], "e_form_ev_per_fu": 3.463, "volume_a3_per_cell": 102.33, "n_ef_per_ev_cell": 4.9, "total_energy_ev_per_atom": -7.71, "total_magnetization_mub_per_atom": 0.000, "de_polymorph_mev_per_atom": 308}



{"formula": "Sb2TeAu", "functional": "PBE", "state": "relaxed", "lattice": [[-0.3580, -6.2064, -0.3538], [2.8055, -3.5653, 4.2651], [-3.7901, 4.9353, -0.2262]], "species": ["Sb", "Te", "Sb", "Au"], "frac_coords": [[0.5000, 0.5000, 0.0000], [0.2500, 0.7500, 0.5000], [0.0000, 0.0000, 0.0000], [0.7500, 0.2500, 0.5000]], "volume_a3_per_cell": 103.52, "raw_formation_energy_ev_per_atom": 0.2947, "n_ef_per_ev_cell": 2.6, "total_energy_ev_per_atom": -3.37, "total_magnetization_mub_per_atom": 0.000}